First-principles (GGA-PBE) data for a relaxed ErTh2SnC crystal, as listed in the Alexandria database.

V	25.16	Å³ per atom
total energy	-34.8	eV for the cell shown
crystal system	tetragonal
symmetry	P4/mmm
size of the total moment	0.000	μB/cell

Lattice parameters (Å, degrees): 4.912 5.060 5.060 90.00 90.00 90.00
Element x y z (fractional)
Er  0.500  0.000  0.000
Th  0.000  0.000  0.500
Th  0.000  0.500  0.000
Sn  0.500  0.500  0.500
C  0.000  0.000  0.000